The following is a DFT calculation (PBE) of an optimized crystal structure of RbTl3Cr2Cl9.

Calculated values
Formation energy (no corrections), eV per formula unit: -17.0
Total energy, eV/atom: -4.064
D(E_F), states/eV/atom: 0.38
Total magnetic moment, μB/atom: 0.47

a b c (Å): 7.0743 7.0743 10.4951
angles (deg): 90.00 90.00 120.00
Space group P-3m1 (No. 164)
Asymmetric unit:
Rb 0.0000 0.0000 0.0000 (multiplicity 1)
Tl 0.0000 0.0000 0.5000 (multiplicity 1)
Tl 0.3333 0.6667 0.2564 (multiplicity 2)
Cr 0.3333 0.6667 0.6457 (multiplicity 2)
Cl 0.0000 0.5000 0.5000 (multiplicity 3)
Cl 0.1723 0.3446 0.7655 (multiplicity 6)

***

The following is a DFT calculation (PBE) of an optimized crystal structure of RbTlCr2Cl8.

Calculated values
Formation energy (no corrections), eV per formula unit: -13.0
Total energy, eV/atom: -4.200
D(E_F), states/eV/atom: 1.06
Total magnetic moment, μB/atom: 0.50

a b c (Å): 6.8835 6.8835 10.3136
angles (deg): 90.00 90.00 120.00
Space group P-3 (No. 147)
Asymmetric unit:
Rb 0.0000 0.0000 0.0000 (multiplicity 1)
Tl 0.0000 0.0000 0.5000 (multiplicity 1)
Cr 0.3333 0.6667 0.7753 (multiplicity 2)
Cl 0.0294 0.3447 0.7195 (multiplicity 6)
Cl 0.3333 0.6667 0.9868 (multiplicity 2)

***

The following is a DFT calculation (PBE) of an optimized crystal structure of RbTmCr2Cl8.

Calculated values
Formation energy (no corrections), eV per formula unit: -18.3
Total energy, eV/atom: -4.810
Total magnetic moment, μB/atom: 0.67

a b c (Å): 6.659 6.818 9.093
angles (deg): 110.35 93.83 110.52
Space group P-1 (No. 2)
Asymmetric unit:
Rb 0.000 0.000 0.000 (multiplicity 1)
Tm 0.000 0.500 0.500 (multiplicity 1)
Cr 0.427 0.317 0.792 (multiplicity 2)
Cl 0.162 0.539 0.254 (multiplicity 2)
Cl 0.265 0.310 0.550 (multiplicity 2)
Cl 0.296 0.909 0.686 (multiplicity 2)
Cl 0.456 0.688 0.955 (multiplicity 2)

***

The following is a DFT calculation (PBE) of an optimized crystal structure of Rb2YCrCl.

Calculated values
Formation energy (no corrections), eV per formula unit: 2.4
Total energy, eV/atom: -3.495
D(E_F), states/eV/atom: 0.66
Total magnetic moment, μB/atom: 1.17

a b c (Å): 7.921 7.921 5.175
angles (deg): 90.00 90.00 90.00
Space group P4/mmm (No. 123)
Asymmetric unit:
Rb 0.000 0.500 0.000 (multiplicity 2)
Y 0.000 0.000 0.000 (multiplicity 1)
Cr 0.500 0.500 0.500 (multiplicity 1)
Cl 0.000 0.000 0.500 (multiplicity 1)

***

The following is a DFT calculation (PBE) of an optimized crystal structure of RbZnCrCl6.

Calculated values
Formation energy (no corrections), eV per formula unit: -11.8
Total energy, eV/atom: -3.860
D(E_F), states/eV/atom: 0.00
Total magnetic moment, μB/atom: 0.33

a b c (Å): 6.3400 6.3400 7.4304
angles (deg): 90.00 90.00 120.00
Space group P312 (No. 149)
Asymmetric unit:
Rb 0.0000 0.0000 0.0000 (multiplicity 1)
Zn 0.6667 0.3333 0.5000 (multiplicity 1)
Cr 0.3333 0.6667 0.5000 (multiplicity 1)
Cl 0.0143 0.3781 0.6839 (multiplicity 6)

***

The following is a DFT calculation (PBE) of an optimized crystal structure of RbZnCr2Cl8.

Calculated values
Formation energy (no corrections), eV per formula unit: -13.5
Total energy, eV/atom: -4.150
D(E_F), states/eV/atom: 0.15
Total magnetic moment, μB/atom: 0.58

a b c (Å): 6.042 6.195 9.688
angles (deg): 84.80 83.56 79.43
Space group P-1 (No. 2)
Asymmetric unit:
Rb 0.000 0.000 0.000 (multiplicity 1)
Zn 0.000 0.000 0.500 (multiplicity 1)
Cr 0.468 0.477 0.672 (multiplicity 2)
Cl 0.213 0.816 0.683 (multiplicity 2)
Cl 0.248 0.841 0.311 (multiplicity 2)
Cl 0.286 0.351 0.494 (multiplicity 2)
Cl 0.314 0.373 0.888 (multiplicity 2)

***

The following is a DFT calculation (PBE) of an optimized crystal structure of Rb2ZnCrCl6.

Calculated values
Formation energy (no corrections), eV per formula unit: -13.5
Total energy, eV/atom: -3.736
D(E_F), states/eV/atom: 0.16
Total magnetic moment, μB/atom: 0.40

a b c (Å): 7.368 7.368 9.094
angles (deg): 90.00 90.00 90.00
Space group I4/mmm (No. 139)
Asymmetric unit:
Rb 0.000 0.500 0.250 (multiplicity 4)
Zn 0.000 0.000 0.000 (multiplicity 2)
Cr 0.000 0.000 0.500 (multiplicity 2)
Cl 0.000 0.000 0.244 (multiplicity 4)
Cl 0.242 0.242 0.500 (multiplicity 8)

***

The following is a DFT calculation (PBE) of an optimized crystal structure of Cr3ReCl.

Calculated values
Formation energy (no corrections), eV per formula unit: 5.3
Total energy, eV/atom: -7.577
D(E_F), states/eV/atom: 1.26
Total magnetic moment, μB/atom: 0.00
E above lowest polymorph, meV per atom: 0

a b c (Å): 4.084 4.084 4.084
angles (deg): 90.00 90.00 90.00
Space group Pm-3m (No. 221)
Asymmetric unit:
Cr 0.000 0.000 0.500 (multiplicity 3)
Re 0.500 0.500 0.500 (multiplicity 1)
Cl 0.000 0.000 0.000 (multiplicity 1)

***

The following is a DFT calculation (PBE) of an optimized crystal structure of CrReCl2.

Calculated values
Formation energy (no corrections), eV per formula unit: 1.4
Total energy, eV/atom: -6.092
D(E_F), states/eV/atom: 0.32
Total magnetic moment, μB/atom: 0.17
E above lowest polymorph, meV per atom: 478

a b c (Å): 11.436 3.089 5.551
angles (deg): 90.00 104.32 90.00
Space group Cm (No. 8)
Asymmetric unit:
Cr 0.000 0.000 0.000 (multiplicity 2)
Re 0.100 0.500 0.835 (multiplicity 2)
Cl 0.088 0.000 0.413 (multiplicity 2)
Cl 0.321 0.000 0.943 (multiplicity 2)

***

The following is a DFT calculation (PBE) of an optimized crystal structure of CrReCl.

Calculated values
Formation energy (no corrections), eV per formula unit: 3.5
Total energy, eV/atom: -6.801
D(E_F), states/eV/atom: 0.63
Total magnetic moment, μB/atom: 0.00
E above lowest polymorph, meV per atom: 1250

a b c (Å): 5.747 5.747 5.747
angles (deg): 90.00 90.00 90.00
Space group F-43m (No. 216)
Asymmetric unit:
Cr 0.000 0.000 0.000 (multiplicity 4)
Re 0.250 0.250 0.250 (multiplicity 4)
Cl 0.250 0.250 0.750 (multiplicity 4)

***

The following is a DFT calculation (PBE) of an optimized crystal structure of CrReCl.

Calculated values
Formation energy (no corrections), eV per formula unit: -0.1
Total energy, eV/atom: -7.991
D(E_F), states/eV/atom: 0.52
Total magnetic moment, μB/atom: 0.00
E above lowest polymorph, meV per atom: 61

a b c (Å): 3.128 3.062 10.748
angles (deg): 90.00 95.62 90.00
Space group Pm (No. 6)
Asymmetric unit:
Cr 0.000 0.000 0.000 (multiplicity 1)
Cr 0.489 0.500 0.905 (multiplicity 1)
Re 0.389 0.500 0.624 (multiplicity 1)
Re 0.937 0.000 0.761 (multiplicity 1)
Cl 0.327 0.000 0.446 (multiplicity 1)
Cl 0.679 0.500 0.136 (multiplicity 1)

***

The following is a DFT calculation (PBE) of an optimized crystal structure of CrReCl.

Calculated values
Formation energy (no corrections), eV per formula unit: 3.0
Total energy, eV/atom: -6.989
D(E_F), states/eV/atom: 0.75
Total magnetic moment, μB/atom: 0.45
E above lowest polymorph, meV per atom: 1063

a b c (Å): 2.858 3.955 7.731
angles (deg): 90.00 90.00 90.00
Space group Imm2 (No. 44)
Asymmetric unit:
Cr 0.000 0.000 0.000 (multiplicity 2)
Re 0.000 0.000 0.650 (multiplicity 2)
Cl 0.000 0.000 0.318 (multiplicity 2)